# Pr6CuPt2Br3

Pr6CuPt2Br3 after structural relaxation (PBE, the Alexandria database).

Uncorrected formation energy: -1195 kJ/mol of formula units
Total moment: 0.000 μB per formula unit
Fermi-level density of states: 0.835 states/eV per atom

Geometry as POSCAR:
```
Pr6CuPt2Br3
1.0
-7.3071 -0.0499 -0.7634
4.2351 -3.4084 -4.9423
0.6324 -5.3811 6.0713
Pr Cu Pt Br
6 1 2 3
direct
0.4031 0.0673 0.2025
0.2683 0.2683 0.7973
0.9327 0.5969 0.7975
0.0673 0.4031 0.2025
0.5969 0.9327 0.7975
0.7317 0.7317 0.2027
0.0000 0.0000 0.0000
0.6667 0.3333 0.0000
0.3333 0.6667 0.0000
0.1646 0.8354 0.5000
0.8354 0.1646 0.5000
0.5000 0.5000 0.5000
```



# Pr4CuRhBr2

Pr4CuRhBr2 after structural relaxation (PBE, the Alexandria database).

Uncorrected formation energy: -655 kJ/mol of formula units
Total moment: 0.000 μB per formula unit
Fermi-level density of states: 0.828 states/eV per atom

Geometry as POSCAR:
```
Pr4CuRhBr2
1.0
-2.6581 -2.5937 -2.0029
0.4782 -4.7061 5.4598
-6.1967 5.0745 1.6524
Br Pr Cu Rh
2 4 1 1
direct
0.0000 0.5000 0.5000
0.5000 0.0000 0.5000
0.5000 0.7565 0.8002
0.5000 0.2435 0.1998
0.0000 0.2663 0.8023
0.0000 0.7337 0.1977
0.0000 0.0000 0.0000
0.5000 0.5000 0.0000
```



# Pr4CuRuBr2

Pr4CuRuBr2 after structural relaxation (PBE, the Alexandria database).

Uncorrected formation energy: -578 kJ/mol of formula units
Total moment: 0.000 μB per formula unit
Fermi-level density of states: 0.590 states/eV per atom

Geometry as POSCAR:
```
Pr4CuRuBr2
1.0
-2.0868 2.6330 2.4897
-5.7830 -0.5908 -4.2222
-0.5811 -5.8828 5.7342
Pr Cu Br Ru
4 1 2 1
direct
0.0000 0.2718 0.8019
0.5000 0.7539 0.8017
0.0000 0.7282 0.1981
0.5000 0.2461 0.1983
0.0000 0.0000 0.0000
0.5000 0.0000 0.5000
0.0000 0.5000 0.5000
0.5000 0.5000 0.0000
```



# Pr6CuS2Br3

Pr6CuS2Br3 after structural relaxation (PBE, the Alexandria database).

Uncorrected formation energy: -1519 kJ/mol of formula units
Total moment: 0.000 μB per formula unit
Fermi-level density of states: 0.728 states/eV per atom

Geometry as POSCAR:
```
Pr6CuS2Br3
1.0
-0.4065 -4.8016 -5.2122
-4.1749 -0.5928 5.7102
-3.7863 5.9760 -3.6090
Pr Br S Cu
6 3 2 1
direct
0.0688 0.4071 0.2073
0.7312 0.7312 0.2063
0.9312 0.5929 0.7927
0.4071 0.0688 0.2073
0.5929 0.9312 0.7927
0.2688 0.2688 0.7937
0.5000 0.5000 0.5000
0.1650 0.8350 0.5000
0.8350 0.1650 0.5000
0.6668 0.3332 0.0000
0.3332 0.6668 0.0000
0.0000 0.0000 0.0000
```



# Pr8CuS3Br4

Pr8CuS3Br4 after structural relaxation (PBE, the Alexandria database).

Uncorrected formation energy: -2128 kJ/mol of formula units
Total moment: 0.000 μB per formula unit
Fermi-level density of states: 0.765 states/eV per atom

Geometry as POSCAR:
```
Pr8CuS3Br4
1.0
8.2767 0.0000 0.0000
0.0000 8.8190 0.3786
-4.1384 -4.1362 5.8547
Br Cu S Pr
4 1 3 8
direct
0.5000 0.0000 0.5000
0.0000 0.0000 0.0000
0.5000 0.0000 0.0000
0.0000 0.0000 0.5000
0.0000 0.5000 0.0000
0.5000 0.5000 0.5000
0.0000 0.5000 0.5000
0.5000 0.5000 0.0000
0.2668 0.3003 0.5335
0.7328 0.7056 0.9692
0.2364 0.7056 0.4727
0.7636 0.2944 0.0308
0.2364 0.7056 0.9692
0.7636 0.2944 0.5273
0.7332 0.6997 0.4665
0.2672 0.2944 0.0308
```



# Pr6CuSi2Br3

Pr6CuSi2Br3 after structural relaxation (PBE, the Alexandria database).

Uncorrected formation energy: -1069 kJ/mol of formula units
Total moment: 0.000 μB per formula unit
Fermi-level density of states: 0.707 states/eV per atom

Geometry as POSCAR:
```
Pr6CuSi2Br3
1.0
-2.9799 0.9415 -2.8686
3.3392 -6.2148 -5.5084
-5.0608 -5.0242 6.7447
Pr Br Si Cu
6 3 2 1
direct
0.6744 0.5629 0.3488
0.6604 0.1039 0.3207
0.3396 0.8961 0.6793
0.3256 0.4371 0.6512
0.0071 0.2273 0.0142
0.9929 0.7727 0.9858
0.1690 0.8323 0.3380
0.8310 0.1677 0.6620
0.5000 0.5000 0.0000
0.1659 0.3328 0.3318
0.8341 0.6672 0.6682
0.5000 0.0000 0.0000
```



# Pr6CuTc2Br3

Pr6CuTc2Br3 after structural relaxation (PBE, the Alexandria database).

Uncorrected formation energy: -660 kJ/mol of formula units
Total moment: 0.000 μB per formula unit
Fermi-level density of states: 0.428 states/eV per atom

Geometry as POSCAR:
```
Pr6CuTc2Br3
1.0
-5.8711 -4.0039 0.1873
6.3668 -2.8026 -1.4649
1.0354 0.9639 8.3702
Cu Pr Tc Br
1 6 2 3
direct
0.0000 0.0000 0.0000
0.2930 0.2930 0.8107
0.4083 0.0678 0.2129
0.7070 0.7070 0.1893
0.0678 0.4083 0.2129
0.9322 0.5917 0.7871
0.5917 0.9322 0.7871
0.6777 0.3223 0.0000
0.3223 0.6777 0.0000
0.1693 0.8307 0.5000
0.8307 0.1693 0.5000
0.5000 0.5000 0.5000
```



# PrTl2CuBr6

PrTl2CuBr6 after structural relaxation (PBE, the Alexandria database).

Uncorrected formation energy: -1073 kJ/mol of formula units
Total moment: 0.085 μB per formula unit
Fermi-level density of states: 0.000 states/eV per atom

Geometry as POSCAR:
```
PrTl2CuBr6
1.0
7.9827 0.0000 -0.0301
0.0000 9.0137 0.0000
0.0399 0.0000 9.9052
Br Tl Cu Pr
12 4 2 2
direct
0.1708 0.2224 0.4449
0.1917 0.1616 0.0508
0.6096 0.0351 0.2871
0.8904 0.5351 0.2129
0.8292 0.7776 0.5551
0.6708 0.2776 0.9449
0.3904 0.9649 0.7129
0.3292 0.7224 0.0551
0.8083 0.8384 0.9492
0.3083 0.6616 0.4492
0.1096 0.4649 0.7871
0.6917 0.3384 0.5508
0.4707 0.4038 0.2527
0.9707 0.0962 0.7527
0.5293 0.5962 0.7473
0.0293 0.9038 0.2473
0.5000 0.0000 0.5000
0.0000 0.5000 0.0000
0.0000 0.5000 0.5000
0.5000 0.0000 0.0000
```



# CuPtBr4

CuPtBr4 after structural relaxation (PBE, the Alexandria database).

Uncorrected formation energy: 738 kJ/mol of formula units
Total moment: 0.000 μB per formula unit
Fermi-level density of states: 1.526 states/eV per atom

Geometry as POSCAR:
```
CuPtBr4
1.0
-1.9471 -2.7478 4.9989
-5.8847 -1.0613 0.7584
-2.1067 -5.6401 -0.2869
Cu Br Pt
1 4 1
direct
0.7500 0.7500 0.7500
0.3748 0.3748 0.3748
0.3748 0.8755 0.3748
0.3748 0.3748 0.8755
0.8755 0.3748 0.3748
0.0000 0.0000 0.0000
```



# CuPtBr

CuPtBr after structural relaxation (PBE, the Alexandria database).

Uncorrected formation energy: 119 kJ/mol of formula units
Total moment: 0.000 μB per formula unit
Fermi-level density of states: 0.853 states/eV per atom
Energy relative to the lowest polymorph listed for this composition: 0.082 eV per atom

Geometry as POSCAR:
```
CuPtBr
1.0
6.6966 -0.0230 0.0148
5.6369 2.9256 0.0533
1.0596 -1.1832 2.7011
Br Pt Cu
1 1 1
direct
0.9858 0.9858 0.0142
0.6807 0.6807 0.3193
0.3335 0.3335 0.6665
```



# Cu2PtBr

Cu2PtBr after structural relaxation (PBE, the Alexandria database).

Uncorrected formation energy: 127 kJ/mol of formula units
Total moment: 0.000 μB per formula unit
Fermi-level density of states: 0.604 states/eV per atom
Energy relative to the lowest polymorph listed for this composition: 0.222 eV per atom

Geometry as POSCAR:
```
Cu2PtBr
1.0
-5.3474 -2.0955 -7.3372
-3.5063 -4.3276 -7.4698
-5.8258 -4.4642 -5.7404
Cu Br Pt
2 1 1
direct
0.9921 0.9921 0.9921
0.2569 0.2569 0.2569
0.7338 0.7338 0.7338
0.5172 0.5172 0.5172
```



# CuPt2Br

CuPt2Br after structural relaxation (PBE, the Alexandria database).

Uncorrected formation energy: 224 kJ/mol of formula units
Total moment: 0.000 μB per formula unit
Fermi-level density of states: 1.471 states/eV per atom
Energy relative to the lowest polymorph listed for this composition: 0.355 eV per atom

Geometry as POSCAR:
```
CuPt2Br
1.0
4.5520 0.0000 0.0000
2.2760 3.9422 0.0000
2.2760 1.3141 3.7167
Br Pt Cu
1 2 1
direct
0.5000 0.5000 0.5000
0.0000 0.0000 0.0000
0.2500 0.2500 0.2500
0.7500 0.7500 0.7500
```



# CuPtBr3

CuPtBr3 after structural relaxation (PBE, the Alexandria database).

Uncorrected formation energy: 163 kJ/mol of formula units
Total moment: 0.156 μB per formula unit
Fermi-level density of states: 2.567 states/eV per atom
Energy relative to the lowest polymorph listed for this composition: 0.000 eV per atom

Geometry as POSCAR:
```
CuPtBr3
1.0
-3.2485 3.9022 0.8466
-2.5492 -1.1867 -4.3116
-3.0734 -3.1403 2.6813
Cu Br Pt
1 3 1
direct
0.5000 0.5000 0.5000
0.0000 0.0000 0.5000
0.5000 0.0000 0.0000
0.0000 0.5000 0.0000
0.0000 0.0000 0.0000
```



# Cu2PtBr

Cu2PtBr after structural relaxation (PBE, the Alexandria database).

Uncorrected formation energy: 173 kJ/mol of formula units
Total moment: 0.000 μB per formula unit
Fermi-level density of states: 0.526 states/eV per atom
Energy relative to the lowest polymorph listed for this composition: 0.341 eV per atom

Geometry as POSCAR:
```
Cu2PtBr
1.0
-4.6653 -0.1286 -0.8557
-1.8412 -2.5364 3.5623
2.8964 3.7542 0.1734
Cu Br Pt
2 1 1
direct
0.0002 0.0002 0.0000
0.4998 0.4998 0.0000
0.2500 0.7500 0.5000
0.7500 0.2500 0.5000
```



# CuPt2Br

CuPt2Br after structural relaxation (PBE, the Alexandria database).

Uncorrected formation energy: 159 kJ/mol of formula units
Total moment: 0.000 μB per formula unit
Fermi-level density of states: 0.699 states/eV per atom
Energy relative to the lowest polymorph listed for this composition: 0.188 eV per atom

Geometry as POSCAR:
```
CuPt2Br
1.0
-3.1857 -2.1384 0.4127
1.0575 -0.8795 3.6055
-5.6879 5.9942 5.1955
Cu Pt Br
2 4 2
direct
0.5000 0.5000 0.0000
0.2500 0.7500 0.5000
0.3750 0.3838 0.7500
0.1338 0.6250 0.2500
0.6162 0.1250 0.2500
0.8750 0.8662 0.7500
0.7500 0.2500 0.5000
0.0000 0.0000 0.0000
```



# Cu2PtBr

Cu2PtBr after structural relaxation (PBE, the Alexandria database).

Uncorrected formation energy: 85 kJ/mol of formula units
Total moment: 0.001 μB per formula unit
Fermi-level density of states: 0.857 states/eV per atom
Energy relative to the lowest polymorph listed for this composition: 0.114 eV per atom

Geometry as POSCAR:
```
Cu2PtBr
1.0
4.0511 0.0000 0.0000
0.0000 2.8325 -0.0871
0.0000 0.1787 6.6343
Pt Cu Br
1 2 1
direct
0.0000 0.5021 0.3671
0.5000 0.0012 0.2860
0.0000 0.9992 0.0356
0.5000 0.9975 0.8113
```



# CuPtBr6

CuPtBr6 after structural relaxation (PBE, the Alexandria database).

Uncorrected formation energy: -184 kJ/mol of formula units
Total moment: 0.882 μB per formula unit
Fermi-level density of states: 0.258 states/eV per atom
Energy relative to the lowest polymorph listed for this composition: 0.000 eV per atom

Geometry as POSCAR:
```
CuPtBr6
1.0
-5.6867 3.8019 -4.7507
-1.2357 -6.4460 1.0589
0.3611 2.3686 6.2016
Br Pt Cu
6 1 1
direct
0.2720 0.0520 0.3776
0.7280 0.6224 0.9480
0.7280 0.9480 0.6224
0.7514 0.4291 0.4291
0.2720 0.3776 0.0520
0.2486 0.5709 0.5709
0.5000 0.5000 0.5000
0.0000 0.0000 0.0000
```



# Cu2Pt2Br

Cu2Pt2Br after structural relaxation (PBE, the Alexandria database).

Uncorrected formation energy: 124 kJ/mol of formula units
Total moment: 0.000 μB per formula unit
Fermi-level density of states: 0.613 states/eV per atom
Energy relative to the lowest polymorph listed for this composition: 0.000 eV per atom

Geometry as POSCAR:
```
Cu2Pt2Br
1.0
-3.1610 -0.2472 6.4449
6.2492 -1.8926 2.9924
0.6942 3.0131 0.4560
Pt Br Cu
4 2 4
direct
0.3573 0.8573 0.0000
0.8573 0.6427 0.0000
0.6427 0.1427 0.0000
0.1427 0.3573 0.0000
0.5000 0.5000 0.0000
0.0000 0.0000 0.0000
0.6517 0.8483 0.5000
0.3483 0.1517 0.5000
0.1517 0.6517 0.5000
0.8483 0.3483 0.5000
```



# Cu2PtBr

Cu2PtBr after structural relaxation (PBE, the Alexandria database).

Uncorrected formation energy: 164 kJ/mol of formula units
Total moment: 0.000 μB per formula unit
Fermi-level density of states: 0.500 states/eV per atom
Energy relative to the lowest polymorph listed for this composition: 0.317 eV per atom

Geometry as POSCAR:
```
Cu2PtBr
1.0
5.0412 0.0294 0.0000
2.0758 4.5940 0.0000
-3.5585 -2.3117 2.7216
Pt Br Cu
1 1 2
direct
0.5000 0.5000 0.0000
0.7500 0.2500 0.5000
0.2500 0.7500 0.5000
0.0000 0.0000 0.0000
```



# Cu2PtBr

Cu2PtBr after structural relaxation (PBE, the Alexandria database).

Uncorrected formation energy: 87 kJ/mol of formula units
Total moment: 0.000 μB per formula unit
Fermi-level density of states: 0.588 states/eV per atom
Energy relative to the lowest polymorph listed for this composition: 0.120 eV per atom

Geometry as POSCAR:
```
Cu2PtBr
1.0
6.3663 0.8502 -0.1417
3.8382 5.1498 0.1417
-4.7200 -3.6501 2.3813
Cu Pt Br
2 1 1
direct
0.6697 0.1697 0.5000
0.0421 0.0421 0.0000
0.4909 0.4909 0.0000
0.2973 0.7973 0.5000
```



# CuPt2Br

CuPt2Br after structural relaxation (PBE, the Alexandria database).

Uncorrected formation energy: 138 kJ/mol of formula units
Total moment: 0.000 μB per formula unit
Fermi-level density of states: 0.977 states/eV per atom
Energy relative to the lowest polymorph listed for this composition: 0.132 eV per atom

Geometry as POSCAR:
```
CuPt2Br
1.0
-0.0356 -1.4557 -2.8955
2.0755 -2.2363 1.0988
-5.1499 -3.8077 1.9775
Cu Br Pt
1 1 2
direct
0.5000 0.5000 0.7927
0.0000 0.0000 0.5068
0.5000 0.5000 0.2045
0.0000 0.0000 0.9961
```



# Cu2PtBr

Cu2PtBr after structural relaxation (PBE, the Alexandria database).

Uncorrected formation energy: 140 kJ/mol of formula units
Total moment: 0.000 μB per formula unit
Fermi-level density of states: 0.434 states/eV per atom
Energy relative to the lowest polymorph listed for this composition: 0.257 eV per atom

Geometry as POSCAR:
```
Cu2PtBr
1.0
-0.4075 -2.1698 -1.7233
-0.1232 -0.4722 2.7579
-9.5341 1.8741 -0.1050
Cu Br Pt
2 1 1
direct
0.0000 0.0000 0.0269
0.5000 0.5000 0.2291
0.5000 0.5000 0.7958
0.0000 0.0000 0.4482
```



# CuPt2Br

CuPt2Br after structural relaxation (PBE, the Alexandria database).

Uncorrected formation energy: 87 kJ/mol of formula units
Total moment: 0.000 μB per formula unit
Fermi-level density of states: 0.949 states/eV per atom
Energy relative to the lowest polymorph listed for this composition: 0.000 eV per atom

Geometry as POSCAR:
```
CuPt2Br
1.0
-0.6427 0.5298 3.4105
2.6189 -1.1613 0.6739
2.8710 6.2338 -0.4275
Cu Pt Br
1 2 1
direct
0.5000 0.4996 0.8029
0.0000 0.9998 0.9904
0.5000 0.5000 0.2098
0.0000 0.5005 0.4969
```



# Cu2PtBr

Cu2PtBr after structural relaxation (PBE, the Alexandria database).

Uncorrected formation energy: 102 kJ/mol of formula units
Total moment: 0.000 μB per formula unit
Fermi-level density of states: 0.852 states/eV per atom
Energy relative to the lowest polymorph listed for this composition: 0.158 eV per atom

Geometry as POSCAR:
```
Cu2PtBr
1.0
3.2057 0.0000 0.0000
0.0000 3.2057 0.0000
0.0000 0.0000 6.4060
Cu Pt Br
2 1 1
direct
0.0000 0.0000 0.0325
0.5000 0.5000 0.2390
0.0000 0.0000 0.4358
0.5000 0.5000 0.7926
```



# Cu2PtBr

Cu2PtBr after structural relaxation (PBE, the Alexandria database).

Uncorrected formation energy: 154 kJ/mol of formula units
Total moment: 0.000 μB per formula unit
Fermi-level density of states: 0.530 states/eV per atom
Energy relative to the lowest polymorph listed for this composition: 0.292 eV per atom

Geometry as POSCAR:
```
Cu2PtBr
1.0
-6.8050 -0.3134 1.8544
-1.7485 -1.5086 -6.6717
-4.0133 -3.5324 -1.8849
Pt Cu Br
2 4 2
direct
0.7500 0.2500 0.5000
0.0000 0.0000 0.0000
0.1243 0.6250 0.2500
0.6257 0.1250 0.2500
0.3750 0.3743 0.7500
0.8750 0.8757 0.7500
0.5000 0.5000 0.0000
0.2500 0.7500 0.5000
```